Compound: NaTiZn2
Source: Alexandria
Functional: PBE
Structure: optimized geometry

## Properties
- space-group type = Fm-3m, No. 225
- theoretical density (kg/m3) = 4789
- formation energy (meV/atom) = 210.3
- polymorph energy (0 for the lowest one) (meV/atom) = 201.0

Cell: 4.624 4.624 4.624 Å, 60.00 60.00 60.00°
Fractional positions:
Zn 0.750 0.750 0.750
Na 0.000 0.000 0.000
Ti 0.500 0.500 0.500
Zn 0.250 0.250 0.250


Compound: PbW2Cl
Source: Alexandria
Functional: PBE
Structure: optimized geometry

## Properties
- space-group type = Fm-3m, No. 225
- formation energy from raw total energies (eV per atom) = 1.48
- theoretical density (kg/m3) = 14002
- polymorph energy (0 for the lowest one) (meV/atom) = 1271.2

Cell: 4.678 4.678 4.678 Å, 60.00 60.00 60.00°
Fractional positions:
Pb 0.500 0.500 0.500
Cl 0.000 0.000 0.000
W 0.750 0.750 0.750
W 0.250 0.250 0.250


Compound: CaAuS2
Source: Alexandria
Functional: PBE
Structure: optimized geometry

## Properties
- space-group type = I-42d, No. 122
- formation energy from raw total energies (eV per atom) = -0.74
- theoretical density (kg/m3) = 4791
- polymorph energy (0 for the lowest one) (meV/atom) = 75.4

Cell: 5.490 5.490 7.941 Å, 69.78 69.78 90.00°
Fractional positions:
Ca 0.250 0.750 0.500
S 0.375 0.331 0.750
Au 0.750 0.250 0.500
S 0.081 0.625 0.250
Au 0.000 0.000 0.000
Ca 0.500 0.500 0.000
S 0.875 0.919 0.750
S 0.669 0.125 0.250


Compound: Th3SiTe3
Source: Alexandria
Functional: PBE
Structure: optimized geometry

## Properties
- space-group type = C2/m, No. 12
- formation energy from raw total energies (eV per atom) = -0.68
- theoretical density (kg/m3) = 7924

Cell: 7.884 7.884 7.918 Å, 88.63 88.63 109.33°
Fractional positions:
Th 0.953 0.953 0.211
Te 0.374 0.374 0.658
Th 0.047 0.047 0.789
Th 0.809 0.516 0.686
Te 0.833 0.167 0.500
Te 0.767 0.233 0.000
Si 0.753 0.753 0.924
Te 0.167 0.833 0.500
Te 0.626 0.626 0.342
Th 0.191 0.484 0.314
Th 0.484 0.191 0.314
Th 0.516 0.809 0.686
Te 0.233 0.767 0.000
Si 0.247 0.247 0.076


Compound: CoPb2Cl
Source: Alexandria
Functional: PBE
Structure: optimized geometry

## Properties
- space-group type = P4/mmm, No. 123
- formation energy from raw total energies (eV per atom) = 0.05
- theoretical density (kg/m3) = 9368
- polymorph energy (0 for the lowest one) (meV/atom) = 66.9

Cell: 3.378 3.378 7.904 Å, 90.00 90.00 90.03°
Site moments in Bohr magnetons follow the coordinates.
Fractional positions:
Co 0.500 0.500 0.750  1.01
Pb 0.000 0.000 0.962  -0.04
Cl 0.500 0.500 0.250  -0.01
Pb 0.000 0.000 0.538  -0.04


Compound: La2YTh
Source: Alexandria
Functional: PBE
Structure: optimized geometry

## Properties
- space-group type = R3m, No. 160
- theoretical density (kg/m3) = 7227
- formation energy (meV/atom) = 31.4
- polymorph energy (0 for the lowest one) (meV/atom) = 6.9

Cell: 3.653 3.653 12.093 Å, 81.30 81.30 59.98°
Fractional positions:
La 0.082 0.082 0.756
Y 0.500 0.500 0.501
Th 0.667 0.667 0.999
La 0.252 0.252 0.245


Compound: PrYSn
Source: Alexandria
Functional: PBE
Structure: optimized geometry

## Properties
- space-group type = P3m1, No. 156
- theoretical density (kg/m3) = 6211
- formation energy (meV/atom) = -394.9
- polymorph energy (0 for the lowest one) (meV/atom) = 207.8

Cell: 4.015 5.176 5.176 Å, 120.00 90.00 90.00°
Fractional positions:
Y 0.912 0.000 0.000
Sn 0.724 0.667 0.333
Pr 0.364 0.333 0.667


Compound: NaMgHgF6
Source: Alexandria
Functional: PBE
Structure: optimized geometry

## Properties
- space-group type = P4_2nm, No. 102
- formation energy from raw total energies (eV per atom) = -2.27
- theoretical density (kg/m3) = 4693

Cell: 5.024 5.024 10.147 Å, 90.00 90.00 90.00°
Site moments in Bohr magnetons follow the coordinates.
Fractional positions:
F 0.318 0.318 0.013  0.13
Hg 0.500 0.500 0.832  0.26
Mg 0.000 0.000 0.667  0.00
Na 0.000 0.000 0.000  0.00
F 0.682 0.682 0.013  0.13
F 0.686 0.686 0.317  0.11
F 0.713 0.713 0.670  0.12
F 0.818 0.182 0.513  0.13
F 0.787 0.213 0.170  0.12
Mg 0.500 0.500 0.167  0.00
Hg 0.000 0.000 0.332  0.26
F 0.186 0.814 0.817  0.11
Na 0.500 0.500 0.500  0.00
F 0.182 0.818 0.513  0.13
F 0.814 0.186 0.817  0.11
F 0.287 0.287 0.670  0.12
F 0.213 0.787 0.170  0.12
F 0.314 0.314 0.317  0.11


Compound: Pr6Ir2S3I
Source: Alexandria
Functional: PBE
Structure: optimized geometry

## Properties
- space-group type = C2/m, No. 12
- formation energy from raw total energies (eV per atom) = -1.32
- theoretical density (kg/m3) = 7413

Cell: 4.117 8.808 9.493 Å, 104.08 102.52 90.00°
Fractional positions:
Pr 0.009 0.289 0.018
Pr 0.682 0.113 0.363
Pr 0.991 0.711 0.982
Pr 0.318 0.887 0.637
I 0.500 0.000 0.000
S 0.500 0.500 0.000
Pr 0.671 0.581 0.341
Ir 0.831 0.663 0.662
S 0.157 0.841 0.314
Pr 0.329 0.419 0.659
Ir 0.169 0.337 0.338
S 0.843 0.159 0.686


Compound: VInRh2
Source: Alexandria
Functional: PBE
Structure: optimized geometry

## Properties
- space-group type = I-42d, No. 122
- theoretical density (kg/m3) = 8945
- formation energy (meV/atom) = 20.3

Cell: 7.001 7.001 5.695 Å, 52.07 52.07 90.00°
Fractional positions:
V 0.500 0.500 0.000
In 0.750 0.250 0.500
Rh 0.375 0.429 0.750
V 0.250 0.750 0.500
Rh 0.179 0.625 0.250
In 0.000 0.000 0.000
Rh 0.571 0.125 0.250
Rh 0.875 0.821 0.750


Compound: CeNdRh
Source: Alexandria
Functional: PBE
Structure: optimized geometry

## Properties
- space-group type = P2_1/c, No. 14
- theoretical density (kg/m3) = 7762
- formation energy (meV/atom) = -398.6
- polymorph energy (0 for the lowest one) (meV/atom) = 80.8

Cell: 6.024 7.019 7.950 Å, 99.63 90.00 90.00°
Site moments in Bohr magnetons follow the coordinates.
Fractional positions:
Rh 0.883 0.020 0.836  -0.02
Rh 0.383 0.480 0.664  -0.02
Nd 0.117 0.696 0.397  0.04
Ce 0.882 0.302 0.123  0.41
Nd 0.617 0.804 0.103  0.04
Ce 0.618 0.802 0.623  0.41
Nd 0.883 0.304 0.603  0.04
Nd 0.383 0.196 0.897  0.04
Rh 0.117 0.980 0.164  -0.02
Rh 0.617 0.520 0.336  -0.02
Ce 0.382 0.198 0.377  0.41
Ce 0.118 0.698 0.877  0.41


Compound: PuAlAu2
Source: Alexandria
Functional: PBE
Structure: optimized geometry

## Properties
- space-group type = Pnma, No. 62
- theoretical density (kg/m3) = 13278
- formation energy (meV/atom) = -461.3

Cell: 5.846 7.145 7.963 Å, 90.00 90.00 90.00°
Site moments in Bohr magnetons follow the coordinates.
Fractional positions:
Au 0.903 0.449 0.179  0.02
Al 0.854 0.250 0.885  0.00
Pu 0.860 0.750 0.461  5.39
Au 0.597 0.449 0.679  0.02
Al 0.146 0.750 0.115  0.00
Pu 0.640 0.750 0.961  5.39
Al 0.646 0.250 0.385  0.00
Al 0.354 0.750 0.615  0.00
Au 0.403 0.949 0.321  0.02
Au 0.097 0.949 0.821  0.02
Pu 0.140 0.250 0.539  5.39
Au 0.403 0.551 0.321  0.02
Pu 0.360 0.250 0.039  5.39
Au 0.903 0.051 0.179  0.02
Au 0.597 0.051 0.679  0.02
Au 0.097 0.551 0.821  0.02